A plane-wave DFT calculation with GGA-PBE was carried out for a relaxed LaAlPd4 crystal.

```
12
Lattice="6.0655 0.0000 -0.0010 0.0000 6.0655 -0.0038 -0.0012 -0.0045 7.1884" Properties=species:S:1:pos:R:3 pbc="T T T"
La 3.0321 -0.0023 3.5937
La -0.0006 3.0305 3.5923
Al 3.0327 3.0327 -0.0024
Al 0.0000 0.0000 0.0000
Pd 3.9391 0.9064 -0.0012
Pd 5.1591 3.9391 -0.0033
Pd 0.9051 2.1218 7.1869
Pd 2.1251 5.1546 7.1848
Pd -0.0004 6.0637 2.3204
Pd 3.0321 3.0299 4.8618
Pd 6.0646 -0.0028 4.8632
Pd 3.0322 3.0310 2.3217
```

Calculated values
Polymorph energy (0 for the lowest one), meV/atom: 438
SG: P2_1/c (14)
Calculated density, kg/m³: 7429
E_form, kJ/mol of formula units: -194

---

A plane-wave DFT calculation with GGA-PBE was carried out for a relaxed HgIr2W crystal.

```
4
Lattice="4.1278 0.0000 0.0000 0.0000 4.1232 0.0000 0.0000 0.0000 3.8243" Properties=species:S:1:pos:R:3 pbc="T T T"
Hg 0.0000 2.0616 1.9121
Ir 0.0000 0.0000 0.0000
Ir 2.0639 2.0616 0.0000
W 2.0639 0.0000 1.9121
```

Calculated values
SG: P4/mmm (123)
Calculated density, kg/m³: 19615
E_form, kJ/mol of formula units: 208

---

Question: The highest calculated density belongs to which entry?
Answer: HgIr2W